{"formula": "Mg3Ga2Ag7", "functional": "PBE", "state": "relaxed", "lattice": [[3.171, -3.176, 0.000], [3.171, 3.176, 0.000], [-3.168, 0.000, 10.591]], "species": ["Mg", "Mg", "Mg", "Ga", "Ga", "Ag", "Ag", "Ag", "Ag", "Ag", "Ag", "Ag"], "fractional_positions": [[0.000, 0.000, 0.000], [0.168, 0.168, 0.337], [0.832, 0.832, 0.663], [0.330, 0.330, 0.665], [0.670, 0.670, 0.335], [0.087, 0.587, 0.174], [0.251, 0.749, 0.500], [0.413, 0.913, 0.826], [0.500, 0.500, 0.000], [0.587, 0.087, 0.174], [0.749, 0.251, 0.500], [0.913, 0.413, 0.826]], "space_group": "C2/m (12)", "magmom_total_mub_per_fu": 0.0, "e_tot_ev_per_fu": -32.6, "dos_at_fermi_per_ev_cell": 1.281, "e_form_mev_per_atom": -147}